An optimized crystal structure of ReSbPt4. Source: Alexandria, functional PBE-GGA.

Lattice parameters (Å, degrees): 5.3209 5.3209 5.3209 60.00 60.00 60.00
With the nearest neighbours (Å) after each atom.
Fractional positions:
Re 0.0000 0.0000 0.0000  12 Pt 3.12, 4 Sb 3.26
Sb 0.2500 0.2500 0.2500  12 Pt 3.12, 4 Re 3.26
Pt 0.1231 0.6256 0.6256  6 Pt 2.65-2.67
Pt 0.6256 0.1231 0.6256  6 Pt 2.65-2.67
Pt 0.6256 0.6256 0.1231  6 Pt 2.65-2.67
Pt 0.6256 0.6256 0.6256  6 Pt 2.65-2.67

Values from the calculation:
- V (Å³ per cell) = 106.52
- D(E_F) (states/eV per cell) = 4.87
- uncorrected formation energy (eV/atom) = 0.46